1.
Density functional theory data (PBE) for an optimized crystal structure of Ba2LiRe.

Results
Size of the total moment = 0.03 μB per atom
Space group = No. 12
E above lowest polymorph = 153 meV/atom

abc: 8.8328 3.2946 9.4842
angles: 90.00 93.24 90.00
With the nearest neighbours (Å) after each atom.
Element x y z (fractional)
Ba (0.2359, 0.0000, 0.2042)  3 Re 3.12-3.22, 2 Ba 3.29
Ba (0.2641, 0.5000, 0.7958)  3 Re 3.12-3.22, 2 Ba 3.29
Ba (0.7359, 0.5000, 0.2042)  3 Re 3.12-3.22, 2 Ba 3.29
Ba (0.7641, 0.0000, 0.7958)  3 Re 3.12-3.22, 2 Ba 3.29
Li (0.0000, 0.0000, 0.5000)  2 Li 3.29, 2 Ba 3.59
Li (0.5000, 0.5000, 0.5000)  2 Li 3.29, 2 Ba 3.59
Re (0.0000, 0.5000, 0.0000)  6 Ba 3.12-3.22, 2 Re 3.29
Re (0.5000, 0.0000, 0.0000)  6 Ba 3.12-3.22, 2 Re 3.29

***

2.
Density functional theory data (PBE) for an optimized crystal structure of BaLi2Re.

Results
Size of the total moment = 0.00 μB per atom
Space group = No. 99
E above lowest polymorph = 53 meV/atom

abc: 2.9907 2.9907 9.6590
angles: 90.00 90.00 90.00
With the nearest neighbours (Å) after each atom.
Element x y z (fractional)
Ba (0.0000, 0.0000, 0.0000)  4 Ba 2.99
Li (0.0000, 0.0000, 0.5397)  4 Re 2.77, 8 Li 2.92-2.99
Li (0.5000, 0.5000, 0.3309)  8 Li 2.92-2.99
Re (0.5000, 0.5000, 0.7244)  4 Li 2.77, 4 Re 2.99

***

3.
Density functional theory data (PBE) for an optimized crystal structure of BaLi2Re.

Results
Size of the total moment = 0.00 μB per atom
Space group = No. 12
E above lowest polymorph = 0 meV/atom

abc: 10.0126 2.8853 6.0764
angles: 90.00 95.03 90.00
With the nearest neighbours (Å) after each atom.
Element x y z (fractional)
Ba (0.0000, 0.0000, 0.0000)  2 Ba 2.89
Ba (0.5000, 0.5000, 0.0000)  2 Ba 2.89
Li (0.2351, 0.0000, 0.6654)  2 Li 2.51
Li (0.2649, 0.5000, 0.3346)  2 Li 2.51
Li (0.7351, 0.5000, 0.6654)  2 Li 2.51
Li (0.7649, 0.0000, 0.3346)  2 Li 2.51
Re (0.0000, 0.5000, 0.5000)  6 Li 2.87-2.92, 2 Re 2.89
Re (0.5000, 0.0000, 0.5000)  6 Li 2.87-2.92, 2 Re 2.89

***

4.
Density functional theory data (PBE) for an optimized crystal structure of BaLi2Re.

Results
Size of the total moment = 0.72 μB per atom
Space group = No. 216
E above lowest polymorph = 255 meV/atom

abc: 7.3122 7.3122 7.3122
angles: 90.00 90.00 90.00
With the nearest neighbours (Å) after each atom.
Element x y z (fractional)
Ba (0.0000, 0.0000, 0.0000)  4 Li 3.17, 4 Re 3.17
Ba (0.0000, 0.5000, 0.5000)  4 Li 3.17, 4 Re 3.17
Ba (0.5000, 0.0000, 0.5000)  4 Li 3.17, 4 Re 3.17
Ba (0.5000, 0.5000, 0.0000)  4 Li 3.17, 4 Re 3.17
Li (0.0000, 0.0000, 0.5000)  4 Re 3.17, 4 Li 3.17
Li (0.0000, 0.5000, 0.0000)  4 Re 3.17, 4 Li 3.17
Li (0.2500, 0.2500, 0.2500)  4 Ba 3.17, 4 Li 3.17
Li (0.2500, 0.7500, 0.7500)  4 Ba 3.17, 4 Li 3.17
Li (0.5000, 0.0000, 0.0000)  4 Re 3.17, 4 Li 3.17
Li (0.5000, 0.5000, 0.5000)  4 Li 3.17, 4 Re 3.17
Li (0.7500, 0.2500, 0.7500)  4 Ba 3.17, 4 Li 3.17
Li (0.7500, 0.7500, 0.2500)  4 Ba 3.17, 4 Li 3.17
Re (0.2500, 0.2500, 0.7500)  4 Ba 3.17, 4 Li 3.17
Re (0.2500, 0.7500, 0.2500)  4 Ba 3.17, 4 Li 3.17
Re (0.7500, 0.2500, 0.2500)  4 Ba 3.17, 4 Li 3.17
Re (0.7500, 0.7500, 0.7500)  4 Ba 3.17, 4 Li 3.17

***

5.
Density functional theory data (PBE) for an optimized crystal structure of BaLi2Re.

Results
Size of the total moment = 0.00 μB per atom
Space group = No. 6
E above lowest polymorph = 16 meV/atom

abc: 2.8813 4.4783 7.1640
angles: 90.00 101.37 90.00
With the nearest neighbours (Å) after each atom.
Element x y z (fractional)
Ba (0.0000, 0.0000, 0.0000)  2 Ba 2.88, 1 Li 3.03
Li (0.7049, 0.5000, 0.3765)  4 Li 2.61-2.88, 2 Re 2.74-2.77
Li (0.7843, 0.0000, 0.5682)  4 Li 2.61-2.88, 4 Re 2.84-2.85
Re (0.3596, 0.5000, 0.7112)  6 Li 2.74-2.85, 2 Re 2.88

***

6.
Density functional theory data (PBE) for an optimized crystal structure of BaLi2Re.

Results
Size of the total moment = 0.34 μB per atom
Space group = No. 119
E above lowest polymorph = 245 meV/atom

abc: 4.4654 4.4654 8.7514
angles: 90.00 90.00 90.00
With the nearest neighbours (Å) after each atom.
Element x y z (fractional)
Ba (0.0000, 0.0000, 0.0000)  4 Re 3.13, 8 Li 3.13-3.16
Ba (0.5000, 0.5000, 0.5000)  4 Re 3.13, 8 Li 3.13-3.16
Li (0.0000, 0.0000, 0.5000)  4 Re 3.13, 4 Li 3.13, 4 Ba 3.16
Li (0.0000, 0.5000, 0.7500)  4 Ba 3.13, 4 Li 3.13, 4 Re 3.16
Li (0.5000, 0.0000, 0.2500)  4 Li 3.13, 4 Ba 3.13, 4 Re 3.16
Li (0.5000, 0.5000, 0.0000)  4 Re 3.13, 4 Li 3.13, 4 Ba 3.16
Re (0.0000, 0.5000, 0.2500)  4 Ba 3.13, 8 Li 3.13-3.16
Re (0.5000, 0.0000, 0.7500)  4 Ba 3.13, 8 Li 3.13-3.16

***

7.
Density functional theory data (PBE) for an optimized crystal structure of BaLi2Re.

Results
Size of the total moment = 0.00 μB per atom
Space group = No. 10
E above lowest polymorph = 15 meV/atom

abc: 2.8873 4.9190 6.0760
angles: 90.00 94.64 90.00
With the nearest neighbours (Å) after each atom.
Element x y z (fractional)
Ba (0.0000, 0.0000, 0.0000)  2 Ba 2.89
Li (0.2228, 0.5000, 0.6703)  1 Li 2.35
Li (0.7772, 0.5000, 0.3297)  1 Li 2.35
Re (0.5000, 0.0000, 0.5000)  4 Li 2.81, 2 Re 2.89

***

8.
Density functional theory data (PBE) for an optimized crystal structure of Ba2LiReRu.

Results
Energy = -4.1555 eV per atom
Size of the total moment = 0.72 μB per atom
Space group = No. 123

abc: 5.7156 5.7156 4.7902
angles: 90.00 90.00 90.00
With the nearest neighbours (Å) after each atom.
Element x y z (fractional)
Ba (0.0000, 0.5000, 0.0000)  2 Ru 2.86
Ba (0.5000, 0.0000, 0.0000)  2 Ru 2.86
Li (0.0000, 0.0000, 0.5000)  2 Ru 2.40
Re (0.5000, 0.5000, 0.5000)  8 Ba 3.73, 4 Li 4.04
Ru (0.0000, 0.0000, 0.0000)  2 Li 2.40

***

9.
Density functional theory data (PBE) for an optimized crystal structure of BaLi2ReSe.

Results
Size of the total moment = 0.95 μB per atom
Space group = No. 123
Uncorrected formation energy = 1.566 eV per atom

abc: 6.1829 6.1829 5.8174
angles: 90.00 90.00 90.00
With the nearest neighbours (Å) after each atom.
Element x y z (fractional)
Ba (0.0000, 0.0000, 0.0000)  2 Se 2.91, 4 Li 3.09
Li (0.0000, 0.5000, 0.0000)  2 Ba 3.09
Li (0.5000, 0.0000, 0.0000)  2 Ba 3.09
Re (0.5000, 0.5000, 0.5000)  8 Li 4.24, 4 Se 4.37
Se (0.0000, 0.0000, 0.5000)  2 Ba 2.91

***

10.
Density functional theory data (PBE) for an optimized crystal structure of BaLiTa2Re.

Results
Energy = -6.2752 eV per atom
Size of the total moment = 0.00 μB per atom
Space group = No. 123

abc: 4.8258 4.8258 4.3733
angles: 90.00 90.00 90.00
With the nearest neighbours (Å) after each atom.
Element x y z (fractional)
Ba (0.0000, 0.0000, 0.0000)  8 Ta 3.26, 4 Re 3.41
Li (0.5000, 0.5000, 0.5000)  2 Re 2.19, 4 Ta 2.41
Ta (0.0000, 0.5000, 0.5000)  2 Li 2.41
Ta (0.5000, 0.0000, 0.5000)  2 Li 2.41
Re (0.5000, 0.5000, 0.0000)  2 Li 2.19

***

11.
Density functional theory data (PBE) for an optimized crystal structure of Ba2LiTiRe.

Results
Energy = -3.5823 eV per atom
Size of the total moment = 1.14 μB per atom
Space group = No. 123

abc: 5.7301 5.7301 4.8525
angles: 90.00 90.00 90.00
With the nearest neighbours (Å) after each atom.
Element x y z (fractional)
Ba (0.0000, 0.5000, 0.0000)  2 Li 2.87
Ba (0.5000, 0.0000, 0.0000)  2 Li 2.87
Li (0.0000, 0.0000, 0.0000)  2 Ti 2.43
Ti (0.0000, 0.0000, 0.5000)  2 Li 2.43
Re (0.5000, 0.5000, 0.5000)  8 Ba 3.75, 4 Ti 4.05

***

12.
Density functional theory data (PBE) for an optimized crystal structure of BaLi2Rh.

Results
Size of the total moment = 0.01 μB per atom
Space group = No. 123
E above lowest polymorph = 185 meV/atom

abc: 3.5774 3.5774 6.4696
angles: 90.00 90.00 90.00
With the nearest neighbours (Å) after each atom.
Element x y z (fractional)
Ba (0.0000, 0.0000, 0.0000)  2 Rh 3.23, 8 Li 3.32, 4 Ba 3.58
Li (0.5000, 0.5000, 0.3334)  1 Li 2.16
Li (0.5000, 0.5000, 0.6666)  1 Li 2.16
Rh (0.0000, 0.0000, 0.5000)  8 Li 2.75

***

Q: Which formula does entry 8 have?
A: Ba2LiReRu